(1)
The following is a DFT calculation (PBE) of an optimized crystal structure of Pm6Pr2Tm3.

Lattice parameters (Å, degrees): 6.2098 6.2098 11.7962 95.08 95.08 120.05
Atoms (fractional coordinates):
Pm (0.0846, 0.4169, 0.7543)
Pm (0.2480, 0.2480, 0.2459)
Pm (0.4169, 0.0846, 0.7543)
Pm (0.5831, 0.9154, 0.2457)
Pm (0.7520, 0.7520, 0.7541)
Pm (0.9154, 0.5831, 0.2457)
Pr (0.3334, 0.6666, 0.5000)
Pr (0.6666, 0.3334, 0.5000)
Tm (0.1656, 0.8344, 0.0000)
Tm (0.5000, 0.5000, 0.0000)
Tm (0.8344, 0.1656, 0.0000)

Output
VASP energy (eV per atom): -4.5133
Energy above the most stable polymorph in this dataset (meV per atom): 0
D(E_F) (states/eV per atom): 1.4209
ΔH_f (0 K) (eV per formula unit): 1.8

(2)
The following is a DFT calculation (PBE) of an optimized crystal structure of Ac2NiSnAu6.

Lattice parameters (Å, degrees): 7.0216 7.0216 9.1669 128.07 128.07 46.92
Atoms (fractional coordinates):
Ac (0.2381, 0.2381, 0.2126)
Ac (0.7619, 0.7619, 0.7874)
Ni (0.5000, 0.5000, 0.0000)
Sn (0.0000, 0.0000, 0.5000)
Au (0.2287, 0.7264, 0.2155)
Au (0.2652, 0.2652, 0.6111)
Au (0.2736, 0.7713, 0.7845)
Au (0.7264, 0.2287, 0.2155)
Au (0.7348, 0.7348, 0.3889)
Au (0.7713, 0.2736, 0.7845)

Output
VASP energy (eV per atom): -4.2389
D(E_F) (states/eV per atom): 0.4439
ΔH_f (0 K) (eV per formula unit): -4.7

Copy entry 2 word for word.
The following is a DFT calculation (PBE) of an optimized crystal structure of Ac2NiSnAu6.

Lattice parameters (Å, degrees): 7.0216 7.0216 9.1669 128.07 128.07 46.92
Atoms (fractional coordinates):
Ac (0.2381, 0.2381, 0.2126)
Ac (0.7619, 0.7619, 0.7874)
Ni (0.5000, 0.5000, 0.0000)
Sn (0.0000, 0.0000, 0.5000)
Au (0.2287, 0.7264, 0.2155)
Au (0.2652, 0.2652, 0.6111)
Au (0.2736, 0.7713, 0.7845)
Au (0.7264, 0.2287, 0.2155)
Au (0.7348, 0.7348, 0.3889)
Au (0.7713, 0.2736, 0.7845)

Output
VASP energy (eV per atom): -4.2389
D(E_F) (states/eV per atom): 0.4439
ΔH_f (0 K) (eV per formula unit): -4.7

- Number 1 is which compound?
  Pm6Pr2Tm3